Entry 1:
YTmB12 (PBE, relaxed); calculated volume = 137.0 Å³ per cell; density of states at the Fermi level = 0.1152 states/eV per atom; uncorrected energy = -6.88 eV per atom; size of the total moment = 0.00 μB per cell; formation enthalpy at 0 K = -0.37 eV per atom
1.0
4.091 0.000 0.000
0.000 4.091 0.000
0.000 0.000 8.186
Y Tm B
1 1 12
direct
0.000 0.000 0.000
0.000 0.000 0.500
0.199 0.500 0.251
0.199 0.500 0.749
0.500 0.199 0.251
0.500 0.199 0.749
0.500 0.500 0.100
0.500 0.500 0.401
0.500 0.500 0.599
0.500 0.500 0.900
0.500 0.801 0.251
0.500 0.801 0.749
0.801 0.500 0.251
0.801 0.500 0.749

---

Entry 2:
YTmB (PBE, relaxed); calculated volume = 375.0 Å³ per cell; density of states at the Fermi level = 0.7364 states/eV per atom; uncorrected energy = -5.86 eV per atom; size of the total moment = 0.00 μB per cell; formation enthalpy at 0 K = 0.01 eV per atom
1.0
7.447 0.000 0.000
0.000 4.525 0.000
-0.955 0.000 11.128
Y Tm B
6 6 6
direct
0.001 0.250 0.278
0.400 0.750 0.908
0.483 0.750 0.610
0.517 0.250 0.390
0.600 0.250 0.092
0.999 0.750 0.722
0.089 0.250 0.932
0.159 0.250 0.561
0.322 0.750 0.228
0.678 0.250 0.772
0.841 0.750 0.439
0.911 0.750 0.068
0.201 0.750 0.444
0.254 0.250 0.133
0.324 0.250 0.775
0.676 0.750 0.225
0.746 0.750 0.867
0.799 0.250 0.556

---

Entry 3:
YTm2B6 (PBE, relaxed); calculated volume = 105.9 Å³ per cell; density of states at the Fermi level = 0.2923 states/eV per atom; uncorrected energy = -6.79 eV per atom; size of the total moment = 0.00 μB per cell; formation enthalpy at 0 K = -0.62 eV per atom
1.0
5.661 0.000 0.000
-2.830 4.902 0.000
0.000 0.000 3.816
Y Tm B
1 2 6
direct
0.000 0.000 0.000
0.333 0.667 0.000
0.667 0.333 0.000
0.000 0.335 0.500
0.000 0.665 0.500
0.335 0.000 0.500
0.335 0.335 0.500
0.665 0.000 0.500
0.665 0.665 0.500

---

Entry 4:
TmZnB (PBE, relaxed); calculated volume = 102.3 Å³ per cell; density of states at the Fermi level = 0.4783 states/eV per atom; uncorrected energy = -4.39 eV per atom; size of the total moment = 0.00 μB per cell; formation enthalpy at 0 K = -0.25 eV per atom
1.0
4.266 -1.864 0.000
4.266 1.864 0.000
-1.371 0.000 6.435
Tm Zn B
2 2 2
direct
0.107 0.107 0.305
0.893 0.893 0.695
0.359 0.359 0.069
0.641 0.641 0.931
0.418 0.418 0.418
0.582 0.582 0.582